Record 1
Density functional theory data (PBE with a Hubbard U) for a relaxed structure of RbVI2O.

The energy above the most stable polymorph in this dataset comes out at 0 meV per atom. The symmetry is P4/mmm, No. 123.

a b c (Å): 6.1820 6.1820 3.7877
angles (deg): 90.00 90.00 90.00
Fractional positions:
Rb 0.0000 0.0000 0.0000
V 0.5000 0.5000 0.5000
I 0.0000 0.5000 0.5000
I 0.5000 0.0000 0.5000
O 0.5000 0.5000 0.0000

Record 2
Density functional theory data (PBE with a Hubbard U) for a relaxed structure of RbVI2O.

The energy above the most stable polymorph in this dataset comes out at 1625 meV per atom. The symmetry is P4/mmm, No. 123.

a b c (Å): 6.5342 6.5342 4.4141
angles (deg): 90.00 90.00 90.00
Fractional positions:
Rb 0.0000 0.0000 0.0000
V 0.5000 0.5000 0.5000
I 0.0000 0.5000 0.0000
I 0.5000 0.0000 0.0000
O 0.0000 0.0000 0.5000

Record 3
Density functional theory data (PBE with a Hubbard U) for a relaxed structure of Rb2WI6O.

The symmetry is I4/mmm, No. 139. For the total energy, the calculation gives -2.855 eV/atom.

a b c (Å): 8.1835 8.1835 8.1835
angles (deg): 112.62 112.62 103.34
Fractional positions:
Rb 0.2500 0.7500 0.5000
Rb 0.7500 0.2500 0.5000
W 0.0000 0.0000 0.0000
I 0.2224 0.2224 0.4449
I 0.2224 0.7776 0.0000
I 0.2885 0.2885 0.0000
I 0.7115 0.7115 0.0000
I 0.7776 0.2224 0.0000
I 0.7776 0.7776 0.5551
O 0.5000 0.5000 0.0000

no.,size of the total moment (μB per atom),theoretical density (kg/m3)
1,0.400,4660
2,0.546,3579
3,0.200,4494